A plane-wave DFT calculation with PBE was carried out for crystalline Li4Si2Hg at its relaxed geometry.

Values from the calculation:
uncorrected formation energy	-129	meV per atom
Fermi-level density of states	0.73	states/eV/f.u.

Cell: 3.924 3.924 9.316 Å, 90.00 90.00 120.00°
Element x y z (fractional)
Li1 0.333 0.667 0.284
Li2 0.333 0.667 0.861
Li3 0.667 0.333 0.139
Li4 0.667 0.333 0.716
Si1 0.333 0.667 0.555
Si2 0.667 0.333 0.445
Hg1 0.000 0.000 0.000